1.
Entry from Alexandria: an optimized crystal structure of K3Ga8Au3 (PBE-GGA).

Cell lengths 4.563, 8.871, 8.871 Å; angles 78.16, 75.10, 75.10 degrees
Fractional coordinates of all 14 atoms:
K 0.500 0.500 0.500
K 0.816 0.184 0.184
K 0.184 0.816 0.816
Ga 0.610 0.097 0.683
Ga 0.390 0.903 0.317
Ga 0.610 0.683 0.097
Ga 0.390 0.317 0.903
Ga 0.811 0.852 0.525
Ga 0.189 0.148 0.475
Ga 0.811 0.525 0.852
Ga 0.189 0.475 0.148
Au 0.500 0.000 0.000
Au 0.000 0.749 0.251
Au 0.000 0.251 0.749

Results
* ΔE_f: -202.8 meV per atom
* mass density: 6.34 Mg/m³
* space group: Immm (71)
* excess energy over the best structure of this formula in the dataset: 0.256 eV/f.u.



2.
Entry from Alexandria: an optimized crystal structure of GaNF2 (PBE-GGA).

Cell lengths 8.479, 8.479, 8.479 Å; angles 21.91, 21.91, 21.91 degrees
Fractional coordinates of all 4 atoms:
N 0.500 0.500 0.500
Ga 0.000 0.000 0.000
F 0.929 0.929 0.929
F 0.071 0.071 0.071

Results
* formation energy (no corrections): 251 meV/atom
* mass density: 2.72 Mg/m³
* space group: R-3m (166)
* excess energy over the best structure of this formula in the dataset: 1.566 eV/f.u.



3.
Entry from Alexandria: an optimized crystal structure of Mg2ZnCu (PBE-GGA).

Cell lengths 3.105, 3.105, 7.159 Å; angles 90.00, 90.00, 90.00 degrees
Fractional coordinates of all 4 atoms:
Zn 0.000 0.000 0.542
Mg 0.000 0.000 0.954
Mg 0.500 0.500 0.283
Cu 0.500 0.500 0.721

Results
* ΔE_f: -66.8 meV per atom
* mass density: 4.27 Mg/m³
* space group: P4mm (99)



4.
Entry from Alexandria: an optimized crystal structure of SrZr2HW (PBE-GGA).

Cell lengths 5.348, 3.530, 5.348 Å; angles 90.00, 90.00, 90.00 degrees
Fractional coordinates of all 5 atoms:
Sr 0.000 0.000 0.000
Zr 0.000 0.000 0.500
Zr 0.500 0.000 0.000
W 0.500 0.500 0.500
H 0.000 0.500 0.000

Results
* E: -5.3038 eV/atom
* mass density: 7.48 Mg/m³
* space group: P4/mmm (123)



5.
Entry from Alexandria: an optimized crystal structure of Ni3Mo (PBE-GGA).

Cell lengths 4.472, 4.472, 2.592 Å; angles 90.00, 90.00, 110.23 degrees
Fractional coordinates of all 4 atoms:
Mo 0.000 0.000 0.000
Ni 0.000 0.500 0.500
Ni 0.500 0.000 0.500
Ni 0.500 0.500 0.000

Results
* ΔE_f: 71.9 meV per atom
* mass density: 9.29 Mg/m³
* space group: Cmmm (65)



6.
Entry from Alexandria: an optimized crystal structure of Ho5Ru2 (PBE-GGA).

Cell lengths 6.323, 7.257, 8.434 Å; angles 96.82, 112.02, 90.00 degrees
Fractional coordinates of all 14 atoms:
Ho 0.207 0.415 0.186
Ho 0.021 0.085 0.814
Ho 0.206 0.686 0.566
Ho 0.641 0.814 0.434
Ho 0.794 0.314 0.434
Ho 0.359 0.186 0.566
Ho 0.979 0.915 0.186
Ho 0.793 0.585 0.814
Ho 0.579 0.250 0.000
Ho 0.421 0.750 0.000
Ru 0.176 0.424 0.779
Ru 0.397 0.076 0.221
Ru 0.824 0.576 0.221
Ru 0.603 0.924 0.779

Results
* ΔE_f: -376.0 meV per atom
* mass density: 9.59 Mg/m³
* space group: C2/c (15)